[1]
{
  "formula": "Nd11In9Cu4",
  "functional": "PBE",
  "state": "optimized geometry",
  "sg": "Cmmm",
  "formation_enthalpy_0k_ev_per_atom": -0.4222,
  "lattice": [[7.448, -11.192, 0.000], [7.448, 11.192, 0.000], [0.000, 0.000, 3.834]],
  "species": ["Nd", "Nd", "Nd", "Nd", "Nd", "Nd", "Nd", "Nd", "Nd", "Nd", "Nd", "In", "In", "In", "In", "In", "In", "In", "In", "In", "Cu", "Cu", "Cu", "Cu"],
  "fractional_positions": [[0.000, 0.000, 0.000], [0.069, 0.413, 0.000], [0.163, 0.837, 0.000], [0.309, 0.309, 0.000], [0.373, 0.627, 0.000], [0.413, 0.069, 0.000], [0.587, 0.931, 0.000], [0.627, 0.373, 0.000], [0.691, 0.691, 0.000], [0.837, 0.163, 0.000], [0.931, 0.587, 0.000], [0.077, 0.219, 0.500], [0.162, 0.631, 0.500], [0.219, 0.077, 0.500], [0.369, 0.838, 0.500], [0.500, 0.500, 0.500], [0.631, 0.162, 0.500], [0.781, 0.923, 0.500], [0.838, 0.369, 0.500], [0.923, 0.781, 0.500], [0.247, 0.449, 0.500], [0.449, 0.247, 0.500], [0.551, 0.753, 0.500], [0.753, 0.551, 0.500]]
}

=====

[2]
{
  "formula": "NpNi9Sb2",
  "functional": "PBE",
  "state": "optimized geometry",
  "sg": "R-3m",
  "raw_formation_energy_mev_per_atom": -78,
  "lattice": [[2.439, 1.408, 8.100], [-2.439, 1.408, 8.100], [0.000, -2.816, 8.100]],
  "species": ["Np", "Ni", "Ni", "Ni", "Ni", "Ni", "Ni", "Ni", "Ni", "Ni", "Sb", "Sb"],
  "fractional_positions": [[0.000, 0.000, 0.000], [0.081, 0.584, 0.584], [0.333, 0.333, 0.333], [0.416, 0.416, 0.919], [0.416, 0.919, 0.416], [0.500, 0.500, 0.500], [0.584, 0.081, 0.584], [0.584, 0.584, 0.081], [0.667, 0.667, 0.667], [0.919, 0.416, 0.416], [0.132, 0.132, 0.132], [0.868, 0.868, 0.868]]
}